# CsAl4H12

A geometry-optimized CsAl4H12 structure (GGA-PBE, the Alexandria database).

a b c (Å): 6.388 6.388 6.388
angles (deg): 109.47 109.47 109.47
Fractional positions:
Cs (0.000, 0.000, 0.000)
Al (0.000, 0.000, 0.500)
Al (0.000, 0.500, 0.000)
Al (0.500, 0.000, 0.000)
Al (0.500, 0.500, 0.500)
H (0.000, 0.254, 0.746)
H (0.000, 0.746, 0.254)
H (0.254, 0.000, 0.746)
H (0.254, 0.254, 0.509)
H (0.254, 0.509, 0.254)
H (0.254, 0.746, 0.000)
H (0.491, 0.746, 0.746)
H (0.509, 0.254, 0.254)
H (0.746, 0.000, 0.254)
H (0.746, 0.254, 0.000)
H (0.746, 0.491, 0.746)
H (0.746, 0.746, 0.491)

Output
Calculated volume   11.804 Å³/atom
Energy   -54.632 eV per cell
ρ   2.09 g cm⁻³

---

# EuGdGaSn

A geometry-optimized EuGdGaSn structure (GGA-PBE, the Alexandria database).

a b c (Å): 7.550 7.550 7.550
angles (deg): 90.00 90.00 90.00
Fractional positions:
Eu (0.000, 0.000, 0.000)
Eu (0.000, 0.500, 0.500)
Eu (0.500, 0.000, 0.500)
Eu (0.500, 0.500, 0.000)
Gd (0.000, 0.000, 0.500)
Gd (0.000, 0.500, 0.000)
Gd (0.500, 0.000, 0.000)
Gd (0.500, 0.500, 0.500)
Ga (0.250, 0.250, 0.250)
Ga (0.250, 0.750, 0.750)
Ga (0.750, 0.250, 0.750)
Ga (0.750, 0.750, 0.250)
Sn (0.250, 0.250, 0.750)
Sn (0.250, 0.750, 0.250)
Sn (0.750, 0.250, 0.250)
Sn (0.750, 0.750, 0.750)

Output
Calculated volume   26.893 Å³/atom
DFT formation energy   -54.20 kJ/mol of atoms
Energy   -134.528 eV per cell
ρ   7.68 g cm⁻³

---

# TePt

A geometry-optimized TePt structure (GGA-PBE, the Alexandria database).

a b c (Å): 9.609 9.609 5.029
angles (deg): 90.00 90.00 90.00
Fractional positions:
Te (0.153, 0.328, 0.000)
Te (0.172, 0.653, 0.500)
Te (0.328, 0.847, 0.000)
Te (0.347, 0.172, 0.500)
Te (0.653, 0.828, 0.500)
Te (0.672, 0.153, 0.000)
Te (0.828, 0.347, 0.500)
Te (0.847, 0.672, 0.000)
Pt (0.090, 0.267, 0.500)
Pt (0.233, 0.590, 0.000)
Pt (0.267, 0.910, 0.500)
Pt (0.410, 0.233, 0.000)
Pt (0.590, 0.767, 0.000)
Pt (0.733, 0.090, 0.500)
Pt (0.767, 0.410, 0.000)
Pt (0.910, 0.733, 0.500)

Output
Uncorrected formation energy   -0.155 eV/atom
Calculated volume   29.020 Å³/atom
Energy   -75.937 eV per cell
ρ   9.23 g cm⁻³

---

# PmErSbAs

A geometry-optimized PmErSbAs structure (GGA-PBE, the Alexandria database).

a b c (Å): 4.277 4.277 21.169
angles (deg): 90.00 90.00 120.00
Fractional positions:
Pm (0.000, 0.000, 0.000)
Pm (0.333, 0.667, 0.667)
Pm (0.667, 0.333, 0.333)
Er (0.000, 0.000, 0.511)
Er (0.333, 0.667, 0.178)
Er (0.667, 0.333, 0.845)
Sb (0.000, 0.000, 0.759)
Sb (0.333, 0.667, 0.425)
Sb (0.667, 0.333, 0.092)
As (0.000, 0.000, 0.253)
As (0.333, 0.667, 0.919)
As (0.667, 0.333, 0.586)

Output
Uncorrected formation energy   -1.311 eV/atom
Calculated volume   27.952 Å³/atom
Energy   -69.987 eV per cell
ρ   7.56 g cm⁻³

---

# KCaCl2

A geometry-optimized KCaCl2 structure (GGA-PBE, the Alexandria database).

a b c (Å): 4.526 4.526 26.124
angles (deg): 90.00 90.00 120.00
Fractional positions:
K (0.000, 0.000, 0.000)
K (0.333, 0.667, 0.667)
K (0.667, 0.333, 0.333)
Ca (0.000, 0.000, 0.500)
Ca (0.333, 0.667, 0.167)
Ca (0.667, 0.333, 0.833)
Cl (0.000, 0.000, 0.400)
Cl (0.000, 0.000, 0.600)
Cl (0.333, 0.667, 0.067)
Cl (0.333, 0.667, 0.266)
Cl (0.667, 0.333, 0.734)
Cl (0.667, 0.333, 0.933)

Output
Energy relative to the lowest polymorph listed for this composition   0.048 eV/atom
Uncorrected formation energy   -1.685 eV/atom
Calculated volume   38.623 Å³/atom
Energy   -40.592 eV per cell
ρ   1.61 g cm⁻³

---

# LaHgBi3

A geometry-optimized LaHgBi3 structure (GGA-PBE, the Alexandria database).

a b c (Å): 8.371 4.468 8.454
angles (deg): 90.00 90.73 90.00
Fractional positions:
La (0.249, 0.250, 0.247)
La (0.751, 0.750, 0.753)
Hg (0.362, 0.750, 0.558)
Hg (0.638, 0.250, 0.442)
Bi (0.048, 0.250, 0.622)
Bi (0.121, 0.750, 0.947)
Bi (0.439, 0.250, 0.879)
Bi (0.561, 0.750, 0.121)
Bi (0.879, 0.250, 0.053)
Bi (0.952, 0.750, 0.378)

Output
Energy relative to the lowest polymorph listed for this composition   0.000 eV/atom
Calculated volume   31.619 Å³/atom
DFT formation energy   -39.35 kJ/mol of atoms
Energy   -37.823 eV per cell
ρ   10.15 g cm⁻³

---

# Ba2InNi2

A geometry-optimized Ba2InNi2 structure (GGA-PBE, the Alexandria database).

a b c (Å): 4.497 4.497 29.088
angles (deg): 90.00 90.00 120.00
Fractional positions:
Ba (0.000, 0.000, 0.078)
Ba (0.000, 0.000, 0.922)
Ba (0.333, 0.667, 0.589)
Ba (0.333, 0.667, 0.744)
Ba (0.667, 0.333, 0.256)
Ba (0.667, 0.333, 0.411)
In (0.000, 0.000, 0.500)
In (0.333, 0.667, 0.167)
In (0.667, 0.333, 0.833)
Ni (0.000, 0.000, 0.181)
Ni (0.000, 0.000, 0.819)
Ni (0.333, 0.667, 0.486)
Ni (0.333, 0.667, 0.848)
Ni (0.667, 0.333, 0.152)
Ni (0.667, 0.333, 0.514)

Output
Calculated volume   33.962 Å³/atom
DFT formation energy   -13.63 kJ/mol of atoms
Energy   -56.559 eV per cell
ρ   4.96 g cm⁻³

---

# Ca5Ge3Bi12

A geometry-optimized Ca5Ge3Bi12 structure (GGA-PBE, the Alexandria database).

a b c (Å): 15.883 15.883 15.883
angles (deg): 109.47 109.47 109.47
Fractional positions:
Ca (0.000, 0.000, 0.000)
Ca (0.000, 0.000, 0.500)
Ca (0.000, 0.500, 0.000)
Ca (0.000, 0.500, 0.500)
Ca (0.125, 0.750, 0.875)
Ca (0.125, 0.875, 0.250)
Ca (0.250, 0.125, 0.875)
Ca (0.250, 0.625, 0.375)
Ca (0.375, 0.250, 0.625)
Ca (0.375, 0.625, 0.750)
Ca (0.500, 0.000, 0.000)
Ca (0.500, 0.000, 0.500)
Ca (0.500, 0.500, 0.000)
Ca (0.500, 0.500, 0.500)
Ca (0.625, 0.375, 0.250)
Ca (0.625, 0.750, 0.375)
Ca (0.750, 0.375, 0.625)
Ca (0.750, 0.875, 0.125)
Ca (0.875, 0.125, 0.750)
Ca (0.875, 0.250, 0.125)
Ge (0.125, 0.250, 0.375)
Ge (0.125, 0.375, 0.750)
Ge (0.250, 0.375, 0.125)
Ge (0.250, 0.875, 0.625)
Ge (0.375, 0.125, 0.250)
Ge (0.375, 0.750, 0.125)
Ge (0.625, 0.250, 0.875)
Ge (0.625, 0.875, 0.750)
Ge (0.750, 0.125, 0.375)
Ge (0.750, 0.625, 0.875)
Ge (0.875, 0.625, 0.250)
Ge (0.875, 0.750, 0.625)
Bi (0.052, 0.629, 0.376)
Bi (0.052, 0.923, 0.676)
Bi (0.077, 0.253, 0.129)
Bi (0.077, 0.324, 0.948)
Bi (0.124, 0.753, 0.676)
Bi (0.124, 0.871, 0.448)
Bi (0.129, 0.077, 0.253)
Bi (0.129, 0.552, 0.876)
Bi (0.176, 0.253, 0.624)
Bi (0.176, 0.423, 0.552)
Bi (0.247, 0.324, 0.876)
Bi (0.247, 0.423, 0.371)
Bi (0.253, 0.129, 0.077)
Bi (0.253, 0.624, 0.176)
Bi (0.324, 0.876, 0.247)
Bi (0.324, 0.948, 0.077)
Bi (0.371, 0.247, 0.423)
Bi (0.371, 0.624, 0.948)
Bi (0.376, 0.052, 0.629)
Bi (0.376, 0.824, 0.747)
Bi (0.423, 0.371, 0.247)
Bi (0.423, 0.552, 0.176)
Bi (0.448, 0.124, 0.871)
Bi (0.448, 0.824, 0.577)
Bi (0.552, 0.176, 0.423)
Bi (0.552, 0.876, 0.129)
Bi (0.577, 0.448, 0.824)
Bi (0.577, 0.629, 0.753)
Bi (0.624, 0.176, 0.253)
Bi (0.624, 0.948, 0.371)
Bi (0.629, 0.376, 0.052)
Bi (0.629, 0.753, 0.577)
Bi (0.676, 0.052, 0.923)
Bi (0.676, 0.124, 0.753)
Bi (0.747, 0.376, 0.824)
Bi (0.747, 0.871, 0.923)
Bi (0.753, 0.577, 0.629)
Bi (0.753, 0.676, 0.124)
Bi (0.824, 0.577, 0.448)
Bi (0.824, 0.747, 0.376)
Bi (0.871, 0.448, 0.124)
Bi (0.871, 0.923, 0.747)
Bi (0.876, 0.129, 0.552)
Bi (0.876, 0.247, 0.324)
Bi (0.923, 0.676, 0.052)
Bi (0.923, 0.747, 0.871)
Bi (0.948, 0.077, 0.324)
Bi (0.948, 0.371, 0.624)

Output
Calculated volume   38.558 Å³/atom
DFT formation energy   7.54 kJ/mol of atoms
Energy   -275.475 eV per cell
ρ   6.30 g cm⁻³